KLaY4S8 after structural relaxation, computed with PBE.

Calculated values
uncorrected formation energy: -27.31 eV/f.u.
V: 1215.42 Å³ per cell
mass density: 3.24 g/cm³

CIF file:
```
data_KLaY4S8
_cell_length_a 8.2212
_cell_length_b 8.2212
_cell_length_c 20.7645
_cell_angle_alpha 90.00
_cell_angle_beta 90.00
_cell_angle_gamma 120.00
_symmetry_space_group_name_H-M 'R 3 m'
_symmetry_Int_Tables_number 160
_symmetry_space_group_name_Hall 'R 3 -2"'
loop_
_atom_site_label
_atom_site_fract_x
_atom_site_fract_y
_atom_site_fract_z
K1 0.0000 0.0000 0.0000
La1 0.0000 0.0000 0.6324
Y1 0.0000 0.0000 0.2543
Y2 0.1726 0.3451 0.4606
S1 0.0000 0.0000 0.3857
S2 0.0000 0.0000 0.8613
S3 0.0385 0.5193 0.3882
S4 0.1732 0.3465 0.2066
```